Density functional theory data (PBE) for a relaxed structure of Cs2NpRh2S6.

## Properties
The space group is No. 12. The uncorrected formation energy is -0.93 eV per atom.

abc: 6.3092 6.3092 8.4751
angles: 96.42 96.42 120.80
Fractional coordinates of all 11 atoms:
Cs: 0.1631 0.8369 0.0000
Cs: 0.8369 0.1631 0.0000
Np: 0.0000 0.0000 0.5000
Rh: 0.3339 0.6661 0.5000
Rh: 0.6661 0.3339 0.5000
S: 0.0509 0.4130 0.6663
S: 0.3146 0.3146 0.3306
S: 0.4130 0.0509 0.6663
S: 0.5870 0.9491 0.3337
S: 0.6854 0.6854 0.6694
S: 0.9491 0.5870 0.3337